No. 1
! ScAl2 | the Alexandria database | PBE-GGA | relaxed; values from VASP
! Space group: No. 139
! Energy (eV per atom): -4.86
! E_form (eV per atom): -0.26
&SYSTEM
  ibrav = 0, nat = 3, ntyp = 2
/
ATOMIC_SPECIES
Sc 44.96 Sc.upf
Al 26.98 Al.upf
CELL_PARAMETERS angstrom
-1.5331 1.5331 5.9066
1.5331 -1.5331 5.9066
1.5331 1.5331 -5.9066
ATOMIC_POSITIONS crystal
Sc 0.0000 0.0000 0.0000
Al 0.3251 0.3251 0.0000
Al 0.6749 0.6749 0.0000

---

No. 2
! ScAl2 | the Alexandria database | PBE-GGA | relaxed; values from VASP
! Space group: No. 63
! Energy (eV per atom): -4.93
! E_form (eV per atom): -0.32
&SYSTEM
  ibrav = 0, nat = 6, ntyp = 2
/
ATOMIC_SPECIES
Sc 44.96 Sc.upf
Al 26.98 Al.upf
CELL_PARAMETERS angstrom
2.0574 -6.6479 0.0000
2.0574 6.6479 0.0000
0.0000 0.0000 4.0649
ATOMIC_POSITIONS crystal
Sc 0.0874 0.9126 0.7500
Sc 0.9126 0.0874 0.2500
Al 0.2538 0.7462 0.2500
Al 0.4117 0.5883 0.7500
Al 0.5883 0.4117 0.2500
Al 0.7462 0.2538 0.7500

---

No. 3
! ScAl2 | the Alexandria database | PBE-GGA | relaxed; values from VASP
! Space group: No. 63
! Energy (eV per atom): -4.71
! E_form (eV per atom): -0.11
&SYSTEM
  ibrav = 0, nat = 6, ntyp = 2
/
ATOMIC_SPECIES
Sc 44.96 Sc.upf
Al 26.98 Al.upf
CELL_PARAMETERS angstrom
1.5391 -7.7931 0.0000
1.5391 7.7931 0.0000
0.0000 0.0000 4.7019
ATOMIC_POSITIONS crystal
Sc 0.2190 0.7810 0.7500
Sc 0.7810 0.2190 0.2500
Al 0.1065 0.8935 0.2500
Al 0.4438 0.5562 0.2500
Al 0.5562 0.4438 0.7500
Al 0.8935 0.1065 0.7500

---

No. 4
! Sc2Al | the Alexandria database | PBE-GGA | relaxed; values from VASP
! Space group: No. 194
! Energy (eV per atom): -5.82
! E_form (eV per atom): -0.35
&SYSTEM
  ibrav = 0, nat = 6, ntyp = 2
/
ATOMIC_SPECIES
Sc 44.96 Sc.upf
Al 26.98 Al.upf
CELL_PARAMETERS angstrom
4.8942 0.0000 0.0000
-2.4471 4.2385 0.0000
0.0000 0.0000 6.1445
ATOMIC_POSITIONS crystal
Sc 0.0000 0.0000 0.0000
Sc 0.0000 0.0000 0.5000
Sc 0.3333 0.6667 0.2500
Sc 0.6667 0.3333 0.7500
Al 0.3333 0.6667 0.7500
Al 0.6667 0.3333 0.2500